# Ba3TaZn | Alexandria via LeMat-Bulk | PBE | optimized geometry
data_Ba3TaZn
_chemical_formula_sum 'Ba3 Ta1 Zn1'
_cell_length_a 6.157
_cell_length_b 6.157
_cell_length_c 6.157
_cell_angle_alpha 90.00
_cell_angle_beta 90.00
_cell_angle_gamma 90.00
_space_group_name_H-M_alt 'P 1'
_space_group_IT_number 1
loop_
_space_group_symop_operation_xyz
'x,y,z'
loop_
_atom_site_label
_atom_site_type_symbol
_atom_site_fract_x
_atom_site_fract_y
_atom_site_fract_z
Zn1 Zn 0.500 0.500 0.500
Ba1 Ba 0.000 0.500 0.000
Ba2 Ba 0.000 0.000 0.500
Ba3 Ba 0.500 0.000 0.000
Ta1 Ta 0.000 0.000 0.000
# VASP energy = -14.4 eV per formula unit
# DOS(E_F) = 3.99 states/eV/cell
# Formation energy = 900 meV/atom


# TaBi3Rh | Alexandria via LeMat-Bulk | PBE | optimized geometry
data_TaBi3Rh
_chemical_formula_sum 'Ta1 Bi3 Rh1'
_cell_length_a 5.247
_cell_length_b 5.247
_cell_length_c 5.247
_cell_angle_alpha 90.00
_cell_angle_beta 90.00
_cell_angle_gamma 90.00
_space_group_name_H-M_alt 'P 1'
_space_group_IT_number 1
loop_
_space_group_symop_operation_xyz
'x,y,z'
loop_
_atom_site_label
_atom_site_type_symbol
_atom_site_fract_x
_atom_site_fract_y
_atom_site_fract_z
Rh1 Rh 0.000 0.000 0.000
Bi1 Bi 0.000 0.500 0.000
Bi2 Bi 0.000 0.000 0.500
Bi3 Bi 0.500 0.000 0.000
Ta1 Ta 0.500 0.500 0.500
# VASP energy = -25.7 eV per formula unit
# DOS(E_F) = 7.86 states/eV/cell
# Formation energy = 1039 meV/atom


# YTaP2 | Alexandria via LeMat-Bulk | PBE | optimized geometry
data_YTaP2
_chemical_formula_sum 'Y2 Ta2 P4'
_cell_length_a 5.932
_cell_length_b 5.932
_cell_length_c 7.193
_cell_angle_alpha 65.65
_cell_angle_beta 65.65
_cell_angle_gamma 90.00
_space_group_name_H-M_alt 'P 1'
_space_group_IT_number 1
loop_
_space_group_symop_operation_xyz
'x,y,z'
loop_
_atom_site_label
_atom_site_type_symbol
_atom_site_fract_x
_atom_site_fract_y
_atom_site_fract_z
Y1 Y 0.500 0.500 0.000
Y2 Y 0.250 0.750 0.500
P1 P 0.669 0.125 0.250
P2 P 0.081 0.625 0.250
P3 P 0.375 0.331 0.750
P4 P 0.875 0.919 0.750
Ta1 Ta 0.000 0.000 0.000
Ta2 Ta 0.750 0.250 0.500
# VASP energy = -31.1 eV per formula unit
# DOS(E_F) = 6.29 states/eV/cell
# Formation energy = -485 meV/atom


# Cs2Cr2Cl7 | Alexandria via LeMat-Bulk | PBE | optimized geometry
data_Cs2Cr2Cl7
_chemical_formula_sum 'Cs2 Cr2 Cl7'
_cell_length_a 5.505
_cell_length_b 9.178
_cell_length_c 9.178
_cell_angle_alpha 112.51
_cell_angle_beta 95.14
_cell_angle_gamma 95.14
_space_group_name_H-M_alt 'P 1'
_space_group_IT_number 1
loop_
_space_group_symop_operation_xyz
'x,y,z'
loop_
_atom_site_label
_atom_site_type_symbol
_atom_site_fract_x
_atom_site_fract_y
_atom_site_fract_z
Cs1 Cs 0.500 0.297 0.703
Cs2 Cs 0.500 0.703 0.297
Cr1 Cr 0.912 0.218 0.218
Cr2 Cr 0.088 0.782 0.782
Cl1 Cl 0.197 0.913 0.626
Cl2 Cl 0.803 0.374 0.087
Cl3 Cl 0.803 0.087 0.374
Cl4 Cl 0.197 0.626 0.913
Cl5 Cl 0.000 0.000 0.000
Cl6 Cl 0.740 0.636 0.636
Cl7 Cl 0.260 0.364 0.364
# Uncorrected formation energy = -1.3170 eV/atom
# VASP energy = -48.4 eV per formula unit
# DOS(E_F) = 0.80 states/eV/cell


# CoSbTe2As | Alexandria via LeMat-Bulk | PBE | optimized geometry
data_CoSbTe2As
_chemical_formula_sum 'Co1 Sb1 Te2 As1'
_cell_length_a 5.486
_cell_length_b 5.486
_cell_length_c 5.190
_cell_angle_alpha 90.00
_cell_angle_beta 90.00
_cell_angle_gamma 90.00
_space_group_name_H-M_alt 'P 1'
_space_group_IT_number 1
loop_
_space_group_symop_operation_xyz
'x,y,z'
loop_
_atom_site_label
_atom_site_type_symbol
_atom_site_fract_x
_atom_site_fract_y
_atom_site_fract_z
Sb1 Sb 0.000 0.000 0.500
As1 As 0.000 0.000 0.000
Te1 Te 0.000 0.500 0.000
Te2 Te 0.500 0.000 0.000
Co1 Co 0.500 0.500 0.500
# Uncorrected formation energy = 1.1383 eV/atom
# VASP energy = -16.5 eV per formula unit
# DOS(E_F) = 10.23 states/eV/cell


# Tb2TcMo3 | Alexandria via LeMat-Bulk | PBE | optimized geometry
data_Tb2TcMo3
_chemical_formula_sum 'Tb2 Tc1 Mo3'
_cell_length_a 5.495
_cell_length_b 5.495
_cell_length_c 5.508
_cell_angle_alpha 89.84
_cell_angle_beta 119.98
_cell_angle_gamma 120.13
_space_group_name_H-M_alt 'P 1'
_space_group_IT_number 1
loop_
_space_group_symop_operation_xyz
'x,y,z'
loop_
_atom_site_label
_atom_site_type_symbol
_atom_site_fract_x
_atom_site_fract_y
_atom_site_fract_z
Tb1 Tb 0.748 0.374 0.123
Tb2 Tb 0.252 0.626 0.877
Tc1 Tc 0.000 0.000 0.000
Mo1 Mo 0.500 0.500 0.500
Mo2 Mo 0.000 0.000 0.500
Mo3 Mo 0.500 0.000 0.500
# VASP energy = -52.0 eV per formula unit
# DOS(E_F) = 5.68 states/eV/cell
# Formation energy = 27 meV/atom


# AlIn2Rh2 | Alexandria via LeMat-Bulk | PBE | optimized geometry
data_AlIn2Rh2
_chemical_formula_sum 'Al1 In2 Rh2'
_cell_length_a 3.894
_cell_length_b 3.894
_cell_length_c 6.967
_cell_angle_alpha 73.77
_cell_angle_beta 73.77
_cell_angle_gamma 90.00
_space_group_name_H-M_alt 'P 1'
_space_group_IT_number 1
loop_
_space_group_symop_operation_xyz
'x,y,z'
loop_
_atom_site_label
_atom_site_type_symbol
_atom_site_fract_x
_atom_site_fract_y
_atom_site_fract_z
Rh1 Rh 0.401 0.401 0.198
Rh2 Rh 0.599 0.599 0.802
Al1 Al 0.000 0.000 0.000
In1 In 0.750 0.250 0.500
In2 In 0.250 0.750 0.500
# VASP energy = -23.8 eV per formula unit
# DOS(E_F) = 1.57 states/eV/cell
# Formation energy = 19 meV/atom


# Pm6Al3Tl | Alexandria via LeMat-Bulk | PBE | optimized geometry
data_Pm6Al3Tl
_chemical_formula_sum 'Pm12 Al6 Tl2'
_cell_length_a 5.164
_cell_length_b 9.732
_cell_length_c 11.488
_cell_angle_alpha 105.35
_cell_angle_beta 90.00
_cell_angle_gamma 90.00
_space_group_name_H-M_alt 'P 1'
_space_group_IT_number 1
loop_
_space_group_symop_operation_xyz
'x,y,z'
loop_
_atom_site_label
_atom_site_type_symbol
_atom_site_fract_x
_atom_site_fract_y
_atom_site_fract_z
Pm1 Pm 0.250 0.448 0.086
Pm2 Pm 0.750 0.552 0.914
Pm3 Pm 0.250 0.117 0.155
Pm4 Pm 0.750 0.883 0.845
Pm5 Pm 0.250 0.656 0.681
Pm6 Pm 0.750 0.344 0.319
Pm7 Pm 0.250 0.264 0.508
Pm8 Pm 0.750 0.736 0.492
Pm9 Pm 0.250 0.812 0.294
Pm10 Pm 0.750 0.188 0.706
Pm11 Pm 0.250 0.111 0.878
Pm12 Pm 0.750 0.889 0.122
Al1 Al 0.250 0.531 0.381
Al2 Al 0.750 0.469 0.619
Al3 Al 0.250 0.391 0.789
Al4 Al 0.750 0.609 0.211
Al5 Al 0.250 0.777 0.973
Al6 Al 0.750 0.223 0.027
Tl1 Tl 0.250 0.955 0.601
Tl2 Tl 0.750 0.045 0.399
# VASP energy = -44.9 eV per formula unit
# DOS(E_F) = 16.39 states/eV/cell
# Formation energy = -279 meV/atom


# CdCu | Alexandria via LeMat-Bulk | PBE | optimized geometry
data_CdCu
_chemical_formula_sum 'Cd3 Cu3'
_cell_length_a 6.252
_cell_length_b 6.252
_cell_length_c 2.929
_cell_angle_alpha 90.00
_cell_angle_beta 90.00
_cell_angle_gamma 93.99
_space_group_name_H-M_alt 'P 1'
_space_group_IT_number 1
loop_
_space_group_symop_operation_xyz
'x,y,z'
loop_
_atom_site_label
_atom_site_type_symbol
_atom_site_fract_x
_atom_site_fract_y
_atom_site_fract_z
Cd1 Cd 0.504 0.002 0.000
Cd2 Cd 0.998 0.496 0.000
Cd3 Cd 0.498 0.502 0.000
Cu1 Cu 0.996 0.004 0.000
Cu2 Cu 0.769 0.766 0.500
Cu3 Cu 0.234 0.231 0.500
# VASP energy = -4.7 eV per formula unit
# DOS(E_F) = 2.31 states/eV/cell
# Formation energy = 136 meV/atom


# PrNd3Os | Alexandria via LeMat-Bulk | PBE | optimized geometry
data_PrNd3Os
_chemical_formula_sum 'Pr2 Nd6 Os2'
_cell_length_a 6.505
_cell_length_b 6.677
_cell_length_c 7.916
_cell_angle_alpha 90.00
_cell_angle_beta 90.00
_cell_angle_gamma 90.00
_space_group_name_H-M_alt 'P 1'
_space_group_IT_number 1
loop_
_space_group_symop_operation_xyz
'x,y,z'
loop_
_atom_site_label
_atom_site_type_symbol
_atom_site_fract_x
_atom_site_fract_y
_atom_site_fract_z
Pr1 Pr 0.429 0.336 0.701
Pr2 Pr 0.929 0.017 0.201
Nd1 Nd 0.422 0.338 0.201
Nd2 Nd 0.426 0.855 0.951
Nd3 Nd 0.926 0.498 0.451
Nd4 Nd 0.922 0.014 0.701
Nd5 Nd 0.926 0.498 0.951
Nd6 Nd 0.426 0.855 0.451
Os1 Os 0.175 0.677 0.701
Os2 Os 0.675 0.676 0.201
# VASP energy = -30.2 eV per formula unit
# DOS(E_F) = 12.70 states/eV/cell
# Formation energy = 22 meV/atom